# 1
GaFe2BiS | PBEsol | optimized geometry

Cell lengths 4.574, 4.574, 4.622 Å; angles 90.00, 90.00, 90.00 degrees
Space group P4/mmm (No. 123)
Symmetry-distinct sites (fractional):
Ga: 0.000 0.000 0.000 [1 per cell]
Fe: 0.000 0.500 0.000 [2 per cell]
Bi: 0.500 0.500 0.500 [1 per cell]
S: 0.000 0.000 0.500 [1 per cell]

Results
Formation energy without anion corrections: 928 meV/atom
Total moment: 4.98 μB/cell

=====

# 2
GdFe2BiO6 | PBEsol | optimized geometry

Cell lengths 7.565, 5.283, 5.511 Å; angles 90.00, 90.00, 90.00 degrees
Space group Pmc2_1 (No. 26)
Symmetry-distinct sites (fractional):
Gd: 0.000 0.235 0.000 [2 per cell]
Fe: 0.245 0.250 0.564 [4 per cell]
Bi: 0.500 0.261 0.120 [2 per cell]
O: 0.000 0.336 0.584 [2 per cell]
O: 0.201 0.046 0.270 [4 per cell]
O: 0.286 0.450 0.863 [4 per cell]
O: 0.500 0.170 0.547 [2 per cell]

Results
Formation energy without anion corrections: -1807 meV/atom
Total moment: 1.39 μB/cell

=====

# 3
FeGeBi3 | PBEsol | optimized geometry

Cell lengths 5.388, 5.388, 5.388 Å; angles 90.00, 90.00, 90.00 degrees
Space group Pm-3m (No. 221)
Symmetry-distinct sites (fractional):
Fe: 0.000 0.000 0.000 [1 per cell]
Ge: 0.500 0.500 0.500 [1 per cell]
Bi: 0.000 0.500 0.500 [3 per cell]

Results
ΔH_f (0 K): 28.19 kcal/mol of atoms
Total moment: 3.22 μB/cell

=====

# 4
FeBiI2 | PBEsol | optimized geometry

Cell lengths 9.782, 9.782, 5.165 Å; angles 90.00, 90.00, 90.00 degrees
Space group I-42d (No. 122)
Symmetry-distinct sites (fractional):
Fe: 0.000 0.000 0.000 [4 per cell]
Bi: 0.000 0.000 0.500 [4 per cell]
I: 0.097 0.250 0.125 [8 per cell]

Results
Formation energy without anion corrections: 277 meV/atom
Total moment: 7.45 μB/cell

=====

# 5
YFeBiI2 | PBEsol | optimized geometry

Cell lengths 6.044, 6.044, 5.984 Å; angles 90.00, 90.00, 90.00 degrees
Space group P4/mmm (No. 123)
Symmetry-distinct sites (fractional):
Y: 0.000 0.000 0.000 [1 per cell]
Fe: 0.500 0.500 0.000 [1 per cell]
Bi: 0.000 0.000 0.500 [1 per cell]
I: 0.000 0.500 0.500 [2 per cell]

Results
Formation energy without anion corrections: 983 meV/atom
Total moment: 3.25 μB/cell

=====

# 6
Tl2InFeBi | PBEsol | optimized geometry

Cell lengths 5.953, 5.953, 4.868 Å; angles 90.00, 90.00, 90.00 degrees
Space group P4/mmm (No. 123)
Symmetry-distinct sites (fractional):
Tl: 0.000 0.500 0.000 [2 per cell]
In: 0.000 0.000 0.500 [1 per cell]
Fe: 0.500 0.500 0.500 [1 per cell]
Bi: 0.500 0.500 0.000 [1 per cell]

Results
ΔH_f (0 K): 20.97 kcal/mol of atoms
Total moment: 2.40 μB/cell

=====

# 7
K2FeSiBi | PBEsol | optimized geometry

Cell lengths 5.805, 5.805, 4.919 Å; angles 90.00, 90.00, 90.00 degrees
Space group P4/mmm (No. 123)
Symmetry-distinct sites (fractional):
K: 0.000 0.500 0.000 [2 per cell]
Fe: 0.000 0.000 0.000 [1 per cell]
Si: 0.500 0.500 0.500 [1 per cell]
Bi: 0.000 0.000 0.500 [1 per cell]

Results
Formation energy without anion corrections: 921 meV/atom
Total moment: 3.30 μB/cell

=====

# 8
KFeBi2W | PBEsol | optimized geometry

Cell lengths 5.387, 5.387, 4.889 Å; angles 90.00, 90.00, 90.00 degrees
Space group P4/mmm (No. 123)
Symmetry-distinct sites (fractional):
K: 0.000 0.000 0.000 [1 per cell]
Fe: 0.500 0.500 0.000 [1 per cell]
Bi: 0.000 0.500 0.500 [2 per cell]
W: 0.500 0.500 0.500 [1 per cell]

Results
ΔH_f (0 K): 18.91 kcal/mol of atoms
Total moment: 3.21 μB/cell

=====

# 9
La3FeBi | PBEsol | optimized geometry

Cell lengths 5.186, 5.186, 5.186 Å; angles 90.00, 90.00, 90.00 degrees
Space group Pm-3m (No. 221)
Symmetry-distinct sites (fractional):
La: 0.000 0.000 0.500 [3 per cell]
Fe: 0.000 0.000 0.000 [1 per cell]
Bi: 0.500 0.500 0.500 [1 per cell]

Results
ΔH_f (0 K): -10.41 kcal/mol of atoms
Total moment: 0.00 μB/cell

=====

# 10
Li2FeBi2 | PBEsol | optimized geometry

Cell lengths 6.961, 6.961, 4.436 Å; angles 90.00, 90.00, 90.00 degrees
Space group P4/mbm (No. 127)
Symmetry-distinct sites (fractional):
Li: 0.155 0.345 0.000 [4 per cell]
Fe: 0.000 0.000 0.500 [2 per cell]
Bi: 0.158 0.658 0.500 [4 per cell]

Results
ΔH_f (0 K): 0.37 kcal/mol of atoms
Total moment: 4.18 μB/cell

=====

# 11
LiFeBi2 | PBEsol | optimized geometry

Cell lengths 7.678, 7.678, 6.366 Å; angles 90.00, 90.00, 90.00 degrees
Space group I-42d (No. 122)
Symmetry-distinct sites (fractional):
Li: 0.000 0.000 0.000 [4 per cell]
Fe: 0.000 0.000 0.500 [4 per cell]
Bi: 0.213 0.250 0.625 [8 per cell]

Results
ΔH_f (0 K): 7.04 kcal/mol of atoms
Total moment: 9.66 μB/cell

=====

# 12
Li2Fe3BiO8 | PBEsol | optimized geometry

Cell lengths 5.6753, 5.6753, 16.1122 Å; angles 90.00, 90.00, 120.00 degrees
Space group R-3m (No. 166, hexagonal axes)
Symmetry-distinct sites (fractional):
Li: 0.0000 0.0000 0.1010 [6 per cell]
Fe: 0.0000 0.5000 0.0000 [9 per cell]
Bi: 0.0000 0.0000 0.5000 [3 per cell]
O: 0.0000 0.0000 0.2716 [6 per cell]
O: 0.0212 0.5106 0.2685 [18 per cell]

Results
Formation energy without anion corrections: -1391 meV/atom
Total moment: 9.17 μB/cell

=====

# 13
Lu6FeBi2 | PBEsol | optimized geometry

Cell lengths 8.0245, 8.0245, 4.0261 Å; angles 90.00, 90.00, 120.00 degrees
Space group P-62m (No. 189)
Symmetry-distinct sites (fractional):
Lu: 0.0000 0.2291 0.0000 [3 per cell]
Lu: 0.0000 0.6175 0.5000 [3 per cell]
Fe: 0.0000 0.0000 0.5000 [1 per cell]
Bi: 0.3333 0.6667 0.0000 [2 per cell]

Results
ΔH_f (0 K): -10.31 kcal/mol of atoms
Total moment: 0.00 μB/cell

=====

# 14
MgFeBi2Os | PBEsol | optimized geometry

Cell lengths 5.176, 5.176, 4.947 Å; angles 90.00, 90.00, 90.00 degrees
Space group P4/mmm (No. 123)
Symmetry-distinct sites (fractional):
Mg: 0.000 0.000 0.000 [1 per cell]
Fe: 0.500 0.500 0.000 [1 per cell]
Bi: 0.000 0.500 0.500 [2 per cell]
Os: 0.000 0.000 0.500 [1 per cell]

Results
ΔH_f (0 K): 25.79 kcal/mol of atoms
Total moment: 2.99 μB/cell

=====

# 15
SrMnFeBiO6 | PBEsol | optimized geometry

Cell lengths 5.4581, 5.4581, 13.2570 Å; angles 90.00, 90.00, 120.00 degrees
Space group R3 (No. 146, hexagonal axes)
Symmetry-distinct sites (fractional):
Sr: 0.0000 0.0000 0.0000 [3 per cell]
Mn: 0.0000 0.0000 0.2518 [3 per cell]
Fe: 0.0000 0.0000 0.7530 [3 per cell]
Bi: 0.0000 0.0000 0.4816 [3 per cell]
O: 0.0167 0.5491 0.0097 [9 per cell]
O: 0.1122 0.3397 0.8390 [9 per cell]

Results
Formation energy without anion corrections: -1774 meV/atom
Total moment: 23.32 μB/cell

=====

# 16
FeBiMo3 | PBEsol | optimized geometry

Cell lengths 4.484, 4.484, 4.484 Å; angles 90.00, 90.00, 90.00 degrees
Space group Pm-3m (No. 221)
Symmetry-distinct sites (fractional):
Fe: 0.000 0.000 0.000 [1 per cell]
Bi: 0.500 0.500 0.500 [1 per cell]
Mo: 0.000 0.000 0.500 [3 per cell]

Results
ΔH_f (0 K): 24.87 kcal/mol of atoms
Total moment: 0.01 μB/cell

=====

# 17
NaFeBi2Mo | PBEsol | optimized geometry

Cell lengths 5.175, 5.175, 4.474 Å; angles 90.00, 90.00, 90.00 degrees
Space group P4/mmm (No. 123)
Symmetry-distinct sites (fractional):
Na: 0.000 0.000 0.000 [1 per cell]
Fe: 0.500 0.500 0.500 [1 per cell]
Bi: 0.000 0.500 0.500 [2 per cell]
Mo: 0.500 0.500 0.000 [1 per cell]

Results
ΔH_f (0 K): 18.84 kcal/mol of atoms
Total moment: 2.69 μB/cell

=====

# 18
FeBiMoRh2 | PBEsol | optimized geometry

Cell lengths 4.582, 4.582, 5.214 Å; angles 90.00, 90.00, 90.00 degrees
Space group P4/mmm (No. 123)
Symmetry-distinct sites (fractional):
Fe: 0.000 0.000 0.000 [1 per cell]
Bi: 0.500 0.500 0.000 [1 per cell]
Mo: 0.500 0.500 0.500 [1 per cell]
Rh: 0.000 0.500 0.500 [2 per cell]

Results
ΔH_f (0 K): 35.37 kcal/mol of atoms
Total moment: 3.23 μB/cell

=====

# 19
FeBiMoSe2 | PBEsol | optimized geometry

Cell lengths 4.863, 4.863, 4.585 Å; angles 90.00, 90.00, 90.00 degrees
Space group P4/mmm (No. 123)
Symmetry-distinct sites (fractional):
Fe: 0.000 0.000 0.000 [1 per cell]
Bi: 0.500 0.500 0.000 [1 per cell]
Mo: 0.000 0.000 0.500 [1 per cell]
Se: 0.000 0.500 0.500 [2 per cell]

Results
Formation energy without anion corrections: 596 meV/atom
Total moment: 1.51 μB/cell

=====

# 20
FeBi2N | PBEsol | optimized geometry

Cell lengths 6.578, 6.578, 6.578 Å; angles 90.00, 90.00, 90.00 degrees
Space group Fm-3m (No. 225)
Symmetry-distinct sites (fractional):
Fe: 0.000 0.000 0.000 [4 per cell]
Bi: 0.250 0.250 0.250 [8 per cell]
N: 0.000 0.000 0.500 [4 per cell]

Results
Formation energy without anion corrections: 1183 meV/atom
Total moment: 11.46 μB/cell